Below is a geometry-optimized Ba2Na5Cd5 structure, with properties calculated at the PBE-GGA level.

Unit cell a=5.375 b=6.454 c=11.063 alpha=90.00 beta=90.00 gamma=90.00
Positions (direct):
Ba 0.000 0.000 0.000
Ba 0.000 0.500 0.500
Na 0.500 0.000 0.500
Na 0.500 0.251 0.242
Na 0.500 0.251 0.758
Na 0.500 0.749 0.242
Na 0.500 0.749 0.758
Cd 0.000 0.000 0.333
Cd 0.000 0.000 0.667
Cd 0.000 0.500 0.157
Cd 0.000 0.500 0.843
Cd 0.500 0.500 0.000

---

Below is a geometry-optimized BaNa5Cd2 structure, with properties calculated at the PBE-GGA level.

Unit cell a=4.948 b=9.881 c=11.763 alpha=90.00 beta=90.00 gamma=90.00
Positions (direct):
Ba 0.000 0.000 0.000
Ba 0.500 0.500 0.500
Na 0.000 0.183 0.339
Na 0.000 0.183 0.661
Na 0.000 0.500 0.000
Na 0.000 0.817 0.339
Na 0.000 0.817 0.661
Na 0.500 0.000 0.500
Na 0.500 0.317 0.161
Na 0.500 0.317 0.839
Na 0.500 0.683 0.161
Na 0.500 0.683 0.839
Cd 0.000 0.500 0.275
Cd 0.000 0.500 0.725
Cd 0.500 0.000 0.225
Cd 0.500 0.000 0.775

---

Below is a geometry-optimized BaNa12Cd6 structure, with properties calculated at the PBE-GGA level.

Unit cell a=8.873 b=8.873 c=8.873 alpha=102.71 beta=102.71 gamma=102.71
Positions (direct):
Ba 0.000 0.000 0.000
Na 0.112 0.500 0.888
Na 0.112 0.888 0.500
Na 0.171 0.441 0.441
Na 0.441 0.171 0.441
Na 0.441 0.441 0.171
Na 0.500 0.112 0.888
Na 0.500 0.888 0.112
Na 0.559 0.559 0.829
Na 0.559 0.829 0.559
Na 0.829 0.559 0.559
Na 0.888 0.112 0.500
Na 0.888 0.500 0.112
Cd 0.243 0.243 0.731
Cd 0.243 0.731 0.243
Cd 0.269 0.757 0.757
Cd 0.731 0.243 0.243
Cd 0.757 0.269 0.757
Cd 0.757 0.757 0.269

---

Number 1: formation enthalpy at 0 K -142 meV per atom, M_tot 0.00 μB per formula unit, density 4.12 g/cm³. Number 2: formation enthalpy at 0 K -81 meV per atom, M_tot 0.00 μB per formula unit, density 2.76 g/cm³. Number 3: formation enthalpy at 0 K -3 meV per atom, M_tot 0.00 μB per formula unit, density 2.83 g/cm³.